DFT (PBEsol) results for a relaxed Sr2ZnW crystal.

abc: 4.3370 4.6618 11.4237
angles: 90.00 90.00 90.00
Space group Amm2 (No. 38)
Unique sites:
Sr 0.0000 0.0000 0.0000 [2 per cell]
Sr 0.5000 0.0000 0.2891 [2 per cell]
Zn 0.5000 0.0000 0.5871 [2 per cell]
W 0.0000 0.0000 0.6964 [2 per cell]

The calculation puts the total energy at -31.8 eV per cell. Its formation energy is 797 meV/atom. The energy above the most stable polymorph in this dataset comes out at 131 meV per atom.

DFT (PBEsol) results for a relaxed Sr2ZnW crystal.

abc: 3.5108 3.5108 8.8683
angles: 90.00 90.00 90.00
Space group P4mm (No. 99)
Unique sites:
Sr 0.0000 0.0000 0.0000 [1 per cell]
Sr 0.5000 0.5000 0.4040 [1 per cell]
Zn 0.5000 0.5000 0.7472 [1 per cell]
W 0.0000 0.0000 0.6563 [1 per cell]

The calculation puts the total energy at -16.4 eV per cell. Its formation energy is 666 meV/atom. The energy above the most stable polymorph in this dataset comes out at 0 meV per atom.

DFT (PBEsol) results for a relaxed Sr2ZnW crystal.

abc: 11.8637 3.1512 5.6757
angles: 90.00 109.36 90.00
Space group Cm (No. 8)
Unique sites:
Sr 0.0000 0.0000 0.0000 [2 per cell]
Sr 0.1950 0.0000 0.6217 [2 per cell]
Zn 0.4333 0.0000 0.4531 [2 per cell]
W 0.2681 0.5000 0.1763 [2 per cell]

The calculation puts the total energy at -32.2 eV per cell. Its formation energy is 739 meV/atom. The energy above the most stable polymorph in this dataset comes out at 73 meV per atom.

DFT (PBEsol) results for a relaxed SrZnW2 crystal.

abc: 2.7144 5.0475 10.8129
angles: 90.00 90.00 90.00
Space group Immm (No. 71)
Unique sites:
Sr 0.0000 0.0000 0.0000 [2 per cell]
Zn 0.0000 0.0000 0.5000 [2 per cell]
W 0.0000 0.5000 0.2200 [4 per cell]

The calculation puts the total energy at -55.5 eV per cell. Its formation energy is 816 meV/atom. The energy above the most stable polymorph in this dataset comes out at 0 meV per atom.

DFT (PBEsol) results for a relaxed SrZr2W crystal.

abc: 3.3459 3.3459 9.1718
angles: 90.00 90.00 90.00
Space group P4/mmm (No. 123)
Unique sites:
Sr 0.0000 0.0000 0.0000 [1 per cell]
Zr 0.5000 0.5000 0.3329 [2 per cell]
W 0.0000 0.0000 0.5000 [1 per cell]

The calculation puts the total energy at -32.6 eV per cell. Its formation energy is 309 meV/atom. The energy above the most stable polymorph in this dataset comes out at 0 meV per atom.

DFT (PBEsol) results for a relaxed Sr2ZrW crystal.

abc: 5.9898 11.0495 2.9837
angles: 90.00 92.29 90.00
Space group C2/m (No. 12)
Unique sites:
Sr 0.2500 0.2500 0.0000 [4 per cell]
Zr 0.0000 0.0000 0.5000 [2 per cell]
W 0.0000 0.5000 0.5000 [2 per cell]

The calculation puts the total energy at -44.2 eV per cell. Its formation energy is 1119 meV/atom.

DFT (PBEsol) results for a relaxed SrZr2W crystal.

abc: 9.8481 2.9844 6.5568
angles: 90.00 91.98 90.00
Space group Cm (No. 8)
Unique sites:
Sr 0.0000 0.0000 0.0000 [2 per cell]
Zr 0.0015 0.5000 0.5277 [2 per cell]
Zr 0.2599 0.5000 0.3270 [2 per cell]
W 0.2475 0.0000 0.6963 [2 per cell]

The calculation puts the total energy at -62.0 eV per cell. Its formation energy is 705 meV/atom. The energy above the most stable polymorph in this dataset comes out at 396 meV per atom.

DFT (PBEsol) results for a relaxed SrY2 crystal.

abc: 5.8889 5.8889 3.4903
angles: 90.00 90.00 120.00
Space group P-3m1 (No. 164)
Unique sites:
Sr 0.0000 0.0000 0.0000 [1 per cell]
Y 0.3333 0.6667 0.2953 [2 per cell]

The calculation puts the total energy at -14.7 eV per cell. Its formation energy is 251 meV/atom. The energy above the most stable polymorph in this dataset comes out at 115 meV per atom.